Arrangement a

## CrMoP2 (GGA-PBEsol)

Data for CrMoP2 after structural relaxation.

Structure (POSCAR):
```
CrMoP2
1.0
-1.5483 1.5598 5.4113
1.5483 -1.5598 5.4113
1.5483 1.5598 -5.4113
Cr Mo P
1 1 2
Direct
0.0000 0.0000 0.0000
0.2485 0.7485 0.5000
0.5761 0.5761 0.0000
0.8399 0.3399 0.5000
```

space-group type = No. 44
total magnetic moment = 0.00 Bohr magnetons per cell

=====

Arrangement b

## CrMoP2 (GGA-PBEsol)

Data for CrMoP2 after structural relaxation.

Structure (POSCAR):
```
CrMoP2
1.0
4.1040 -1.5015 0.0000
4.1040 1.5015 0.0000
-1.1591 0.0000 4.0444
Cr Mo P
1 1 2
Direct
0.0000 0.0000 0.0000
0.7720 0.7720 0.3840
0.2668 0.2668 0.8773
0.5128 0.5128 0.5422
```

space-group type = No. 8
total magnetic moment = 0.00 Bohr magnetons per cell

=====

On energetic grounds, arrangement a is preferred over the next structure by 15.0 kJ/mol of atoms.

=====

Arrangement a

## LiLa2Mg (GGA-PBEsol)

Data for LiLa2Mg after structural relaxation.

Structure (POSCAR):
```
LiLa2Mg
1.0
3.4362 0.0000 0.0000
0.0000 4.5730 0.0000
0.0000 0.0000 6.9911
Li La Mg
1 2 1
Direct
0.0000 0.0000 0.0000
0.0000 0.0000 0.4894
0.5000 0.5000 0.7179
0.5000 0.5000 0.2159
```

space-group type = No. 25
total magnetic moment = 0.00 Bohr magnetons per cell

=====

Arrangement b

## LiLa2Mg (GGA-PBEsol)

Data for LiLa2Mg after structural relaxation.

Structure (POSCAR):
```
LiLa2Mg
1.0
-4.3199 4.3199 3.0783
4.3199 -4.3199 3.0783
4.3199 4.3199 -3.0783
Li La Mg
2 4 2
Direct
0.0000 0.0000 0.0000
0.7500 0.2500 0.5000
0.0972 0.1250 0.4722
0.3750 0.9028 0.0278
0.6528 0.6250 0.5278
0.8750 0.3472 0.9722
0.2500 0.7500 0.5000
0.5000 0.5000 0.0000
```

space-group type = No. 122
total magnetic moment = 0.06 Bohr magnetons per cell

=====

On energetic grounds, arrangement a is preferred over the next structure by 19.4 kJ/mol of atoms.

=====

Arrangement a

## MnZn2Co (GGA-PBEsol)

Data for MnZn2Co after structural relaxation.

Structure (POSCAR):
```
MnZn2Co
1.0
2.5740 -3.5909 0.0000
2.5740 3.5909 0.0000
0.0000 0.0000 2.6411
Mn Zn Co
1 2 1
Direct
0.0000 0.0000 0.0000
0.0000 0.5000 0.5000
0.5000 0.0000 0.5000
0.5000 0.5000 0.0000
```

space-group type = No. 65
total magnetic moment = 4.26 Bohr magnetons per cell

=====

Arrangement b

## MnZn2Co (GGA-PBEsol)

Data for MnZn2Co after structural relaxation.

Structure (POSCAR):
```
MnZn2Co
1.0
2.9696 0.0000 0.0000
0.0000 2.9696 0.0000
0.0000 0.0000 5.4765
Mn Zn Co
1 2 1
Direct
0.0000 0.0000 0.0000
0.5000 0.5000 0.2626
0.5000 0.5000 0.7374
0.0000 0.0000 0.5000
```

space-group type = No. 123
total magnetic moment = 3.64 Bohr magnetons per cell

=====

On energetic grounds, arrangement a is preferred over the next structure by 0.5 kJ/mol of atoms.

=====

Arrangement a

## K2PW (GGA-PBEsol)

Data for K2PW after structural relaxation.

Structure (POSCAR):
```
K2PW
1.0
3.7561 0.0000 0.0000
0.0000 3.7561 0.0000
0.0000 0.0000 5.5908
K P W
2 1 1
Direct
0.0000 0.5000 0.0000
0.5000 0.0000 0.0000
0.0000 0.0000 0.5000
0.5000 0.5000 0.5000
```

space-group type = No. 123
total magnetic moment = 0.01 Bohr magnetons per cell

=====

Arrangement b

## K2PW (GGA-PBEsol)

Data for K2PW after structural relaxation.

Structure (POSCAR):
```
K2PW
1.0
0.0000 3.6224 3.6224
3.6224 0.0000 3.6224
3.6224 3.6224 0.0000
K P W
2 1 1
Direct
0.0000 0.0000 0.0000
0.2500 0.2500 0.2500
0.7500 0.7500 0.7500
0.5000 0.5000 0.5000
```

space-group type = No. 216
total magnetic moment = 4.79 Bohr magnetons per cell

=====

On energetic grounds, arrangement a is preferred over the next structure by 26.7 kJ/mol of atoms.

=====

Arrangement a

## CoIr2Os (GGA-PBEsol)

Data for CoIr2Os after structural relaxation.

Structure (POSCAR):
```
CoIr2Os
1.0
2.6488 -3.7345 0.0000
2.6488 3.7345 0.0000
0.0000 0.0000 2.6673
Co Ir Os
1 2 1
Direct
0.0000 0.0000 0.0000
0.0000 0.5000 0.5000
0.5000 0.0000 0.5000
0.5000 0.5000 0.0000
```

space-group type = No. 65
total magnetic moment = 0.53 Bohr magnetons per cell

=====

Arrangement b

## CoIr2Os (GGA-PBEsol)

Data for CoIr2Os after structural relaxation.

Structure (POSCAR):
```
CoIr2Os
1.0
2.6684 0.0000 0.0000
0.0000 3.7228 0.0000
0.0000 0.0000 5.2995
Co Ir Os
1 2 1
Direct
0.0000 0.0000 0.0000
0.0000 0.0000 0.5096
0.5000 0.5000 0.2393
0.5000 0.5000 0.7607
```

space-group type = No. 25
total magnetic moment = 0.97 Bohr magnetons per cell

=====

On energetic grounds, arrangement b is preferred over the next structure by 1.7 kJ/mol of atoms.

=====

Arrangement a

## LiScPt2 (GGA-PBEsol)

Data for LiScPt2 after structural relaxation.

Structure (POSCAR):
```
LiScPt2
1.0
0.0000 3.1229 3.1229
3.1229 0.0000 3.1229
3.1229 3.1229 0.0000
Li Sc Pt
1 1 2
Direct
0.0000 0.0000 0.0000
0.5000 0.5000 0.5000
0.2500 0.2500 0.2500
0.7500 0.7500 0.7500
```

space-group type = No. 225
total magnetic moment = 0.00 Bohr magnetons per cell

=====

Arrangement b

## LiScPt2 (GGA-PBEsol)

Data for LiScPt2 after structural relaxation.

Structure (POSCAR):
```
LiScPt2
1.0
3.2525 0.0000 0.0000
0.0000 3.2525 0.0000
0.0000 0.0000 5.7157
Li Sc Pt
1 1 2
Direct
0.0000 0.0000 0.0000
0.0000 0.0000 0.5000
0.5000 0.5000 0.2381
0.5000 0.5000 0.7619
```

space-group type = No. 123
total magnetic moment = 0.00 Bohr magnetons per cell

=====

On energetic grounds, arrangement b is preferred over the next structure by 3.5 kJ/mol of atoms.